Density functional theory data (PBE+U) for an optimized crystal structure of CoB2F.

Output
Space-group type ... No. 225
Polymorph energy (0 for the lowest one) ... 681 meV/atom
Crystal system ... cubic
Magnetic moment ... 0.000 Bohr magnetons per cell

Cell lengths 3.6530, 3.6530, 3.6530 Å; angles 60.00, 60.00, 60.00 degrees
Fractional coordinates of all 4 atoms:
Co1 0.0000 0.0000 0.0000
B1 0.2500 0.2500 0.2500
B2 0.7500 0.7500 0.7500
F1 0.5000 0.5000 0.5000



Density functional theory data (PBE+U) for an optimized crystal structure of Co2BF.

Output
Space-group type ... No. 225
Polymorph energy (0 for the lowest one) ... 307 meV/atom
Crystal system ... cubic
Magnetic moment ... 3.692 Bohr magnetons per cell

Cell lengths 3.8484, 3.8484, 3.8484 Å; angles 60.00, 60.00, 60.00 degrees
Fractional coordinates of all 4 atoms:
Co1 0.2500 0.2500 0.2500
Co2 0.7500 0.7500 0.7500
B1 0.0000 0.0000 0.0000
F1 0.5000 0.5000 0.5000



Density functional theory data (PBE+U) for an optimized crystal structure of CoBF3.

Output
Space-group type ... No. 221
Polymorph energy (0 for the lowest one) ... 0 meV/atom
Crystal system ... cubic
Magnetic moment ... 3.000 Bohr magnetons per cell

Cell lengths 4.0019, 4.0019, 4.0019 Å; angles 90.00, 90.00, 90.00 degrees
Fractional coordinates of all 5 atoms:
Co1 0.0000 0.0000 0.0000
B1 0.5000 0.5000 0.5000
F1 0.0000 0.0000 0.5000
F2 0.0000 0.5000 0.0000
F3 0.5000 0.0000 0.0000



Density functional theory data (PBE+U) for an optimized crystal structure of CoBF3.

Output
Space-group type ... No. 221
Polymorph energy (0 for the lowest one) ... 138 meV/atom
Crystal system ... cubic
Magnetic moment ... 2.358 Bohr magnetons per cell

Cell lengths 3.7888, 3.7888, 3.7888 Å; angles 90.00, 90.00, 90.00 degrees
Fractional coordinates of all 5 atoms:
Co1 0.0000 0.0000 0.0000
B1 0.5000 0.5000 0.5000
F1 0.0000 0.5000 0.5000
F2 0.5000 0.0000 0.5000
F3 0.5000 0.5000 0.0000



Density functional theory data (PBE+U) for an optimized crystal structure of CoB3F.

Output
Space-group type ... No. 221
Polymorph energy (0 for the lowest one) ... 0 meV/atom
Crystal system ... cubic
Magnetic moment ... 0.000 Bohr magnetons per cell

Cell lengths 3.7238, 3.7238, 3.7238 Å; angles 90.00, 90.00, 90.00 degrees
Fractional coordinates of all 5 atoms:
Co1 0.0000 0.0000 0.0000
B1 0.0000 0.0000 0.5000
B2 0.0000 0.5000 0.0000
B3 0.5000 0.0000 0.0000
F1 0.5000 0.5000 0.5000



Density functional theory data (PBE+U) for an optimized crystal structure of Ga2CoBF.

Output
Space-group type ... No. 123
Crystal system ... tetragonal
Magnetic moment ... 1.584 Bohr magnetons per cell
VASP energy ... -19.7 eV/cell

Cell lengths 4.2306, 4.2306, 3.9458 Å; angles 90.00, 90.00, 90.00 degrees
Fractional coordinates of all 5 atoms:
Ga1 0.0000 0.5000 0.0000
Ga2 0.5000 0.0000 0.0000
Co1 0.0000 0.0000 0.5000
B1 0.0000 0.0000 0.0000
F1 0.5000 0.5000 0.5000



Density functional theory data (PBE+U) for an optimized crystal structure of CoGeB2F.

Output
Space-group type ... No. 123
Crystal system ... tetragonal
Magnetic moment ... 0.000 Bohr magnetons per cell
VASP energy ... -23.9 eV/cell

Cell lengths 3.7005, 3.7005, 4.4449 Å; angles 90.00, 90.00, 90.00 degrees
Fractional coordinates of all 5 atoms:
Co1 0.0000 0.0000 0.0000
Ge1 0.0000 0.0000 0.5000
B1 0.0000 0.5000 0.0000
B2 0.5000 0.0000 0.0000
F1 0.5000 0.5000 0.5000



Density functional theory data (PBE+U) for an optimized crystal structure of CoBO2F.

Output
Space-group type ... No. 123
Crystal system ... tetragonal
Magnetic moment ... 3.644 Bohr magnetons per cell
VASP energy ... -22.7 eV/cell

Cell lengths 3.6387, 3.6387, 4.2076 Å; angles 90.00, 90.00, 90.00 degrees
Fractional coordinates of all 5 atoms:
Co1 0.0000 0.0000 0.0000
B1 0.5000 0.5000 0.5000
O1 0.0000 0.5000 0.0000
O2 0.5000 0.0000 0.0000
F1 0.0000 0.0000 0.5000